## TbEr2Co (GGA-PBE)

Data for crystalline TbEr2Co at its relaxed geometry.

Summary:
The size of the total moment is 0.00 μB/cell. Its excess energy over the best structure of this formula in the dataset is 0.326 eV/atom.

a b c (Å): 3.559 3.559 10.463
angles (deg): 80.21 80.21 60.00
Positions (direct):
Er: 0.114 0.114 0.658
Co: 0.500 0.500 0.500
Er: 0.886 0.886 0.342
Tb: 0.000 0.000 0.000